Entry 1:
A plane-wave DFT calculation with PBE was carried out for a relaxed structure of CuRe2Ir.

Cell: 5.6405 5.6405 6.5682 Å, 64.57 64.57 90.00°
With the nearest neighbours (Å) after each atom.
Atoms (fractional coordinates):
Re (0.8750, 0.8712, 0.7500)  2 Cu 2.37, 2 Ir 2.40
Re (0.1288, 0.6250, 0.2500)  2 Cu 2.37, 2 Ir 2.40
Ir (0.7500, 0.2500, 0.5000)  4 Re 2.40
Re (0.6212, 0.1250, 0.2500)  2 Cu 2.37, 2 Ir 2.40
Cu (0.5000, 0.5000, 0.0000)  4 Re 2.37
Ir (0.0000, 0.0000, 0.0000)  4 Re 2.40
Cu (0.2500, 0.7500, 0.5000)  4 Re 2.37
Re (0.3750, 0.3788, 0.7500)  2 Cu 2.37, 2 Ir 2.40

Summary:
- E_form: 1625.6 meV/atom
- Excess energy over the best structure of this formula in the dataset: 1533 meV per atom
- Density: 12.6 g cm⁻³
- Space-group type: I-42d, No. 122
- Total moment: 0.00 μB/f.u.

***

Entry 2:
A plane-wave DFT calculation with PBE was carried out for a relaxed structure of LiAcBi3.

Cell: 5.3449 5.3449 5.3449 Å, 90.00 90.00 90.00°
With the nearest neighbours (Å) after each atom.
Atoms (fractional coordinates):
Bi (0.5000, 0.0000, 0.0000)  2 Li 2.67
Li (0.0000, 0.0000, 0.0000)  6 Bi 2.67
Bi (0.0000, 0.5000, 0.0000)  2 Li 2.67
Bi (0.0000, 0.0000, 0.5000)  2 Li 2.67
Ac (0.5000, 0.5000, 0.5000)  12 Bi 3.78

Summary:
- E_form: -338.3 meV/atom
- Excess energy over the best structure of this formula in the dataset: 208 meV per atom
- Density: 9.4 g cm⁻³
- Space-group type: Pm-3m, No. 221
- Total moment: 0.00 μB/f.u.

***

Entry 3:
A plane-wave DFT calculation with PBE was carried out for a relaxed structure of SbPb3.

Cell: 6.8429 6.8429 6.8429 Å, 150.78 127.31 61.39°
With the nearest neighbours (Å) after each atom.
Atoms (fractional coordinates):
Sb (0.6912, 0.0000, 0.6912)  6 Pb 3.30-3.53, 2 Sb 3.45
Pb (0.1983, 0.5000, 0.6983)  8 Pb 3.45-3.59, 4 Sb 3.46-3.53
Pb (0.7318, 0.7599, 0.9719)  1 Sb 3.30, 9 Pb 3.45-3.59
Pb (0.2120, 0.2401, 0.9719)  1 Sb 3.30, 9 Pb 3.45-3.59

Summary:
- Density: 10.0 g cm⁻³
- Space-group type: Imm2, No. 44
- Total moment: 0.00 μB/f.u.
- Uncorrected formation energy: 0.040 eV/atom

***

Entry 4:
A plane-wave DFT calculation with PBE was carried out for a relaxed structure of Ir3IO.

Cell: 4.3171 4.3171 4.3171 Å, 90.00 90.00 90.00°
With the nearest neighbours (Å) after each atom.
Atoms (fractional coordinates):
O (0.0000, 0.0000, 0.0000)  6 Ir 2.16
Ir (0.5000, 0.0000, 0.0000)  2 O 2.16
Ir (0.0000, 0.0000, 0.5000)  2 O 2.16
Ir (0.0000, 0.5000, 0.0000)  2 O 2.16
I (0.5000, 0.5000, 0.5000)  12 Ir 3.05

Summary:
- Excess energy over the best structure of this formula in the dataset: 0 meV per atom
- Density: 14.9 g cm⁻³
- Space-group type: Pm-3m, No. 221
- Total moment: 2.15 μB/f.u.
- Uncorrected formation energy: 1.327 eV/atom

***

Entry 5:
A plane-wave DFT calculation with PBE was carried out for a relaxed structure of ScCdBr2.

Cell: 11.3524 11.3524 11.3524 Å, 19.28 19.28 19.28°
With the nearest neighbours (Å) after each atom.
Atoms (fractional coordinates):
Br (0.9268, 0.9268, 0.9268)  1 Sc 2.45
Sc (0.0000, 0.0000, 0.0000)  2 Br 2.45
Cd (0.5000, 0.5000, 0.5000)  6 Cd 3.80, 6 Br 3.82
Br (0.0732, 0.0732, 0.0732)  1 Sc 2.45

Summary:
- Excess energy over the best structure of this formula in the dataset: 511 meV per atom
- Density: 3.8 g cm⁻³
- Space-group type: R-3m, No. 166
- Total moment: 0.24 μB/f.u.
- Uncorrected formation energy: -0.498 eV/atom

***

Entry 6:
A plane-wave DFT calculation with PBE was carried out for a relaxed structure of TcTe2Pt.

Cell: 3.3566 3.3690 7.6473 Å, 63.88 90.00 90.00°
With the nearest neighbours (Å) after each atom.
Atoms (fractional coordinates):
Tc (0.5000, 0.7500, 0.7500)  8 Te 2.89-2.90
Te (0.0000, 0.4895, 0.5096)  4 Tc 2.89-2.90, 4 Pt 2.97
Te (0.0000, 0.0105, 0.9904)  4 Tc 2.89-2.90, 4 Pt 2.97
Pt (0.5000, 0.2500, 0.2500)  8 Te 2.97

Summary:
- Excess energy over the best structure of this formula in the dataset: 383 meV per atom
- Density: 11.7 g cm⁻³
- Space-group type: Pmmm, No. 47
- Total moment: 0.00 μB/f.u.
- Uncorrected formation energy: 0.254 eV/atom

***

Entry 7:
A plane-wave DFT calculation with PBE was carried out for a relaxed structure of Ba2NaInIr.

Cell: 6.1426 6.1426 5.2843 Å, 90.00 90.00 90.00°
With the nearest neighbours (Å) after each atom.
Atoms (fractional coordinates):
Na (0.5000, 0.5000, 0.5000)  8 Ba 4.05, 4 In 4.34
Ir (0.0000, 0.0000, 0.0000)  2 In 2.64
In (0.0000, 0.0000, 0.5000)  2 Ir 2.64
Ba (0.0000, 0.5000, 0.0000)  2 Ir 3.07
Ba (0.5000, 0.0000, 0.0000)  2 Ir 3.07

Summary:
- E_form: -180.9 meV/atom
- Density: 5.0 g cm⁻³
- Space-group type: P4/mmm, No. 123
- Total moment: 0.00 μB/f.u.

***

Entry 8:
A plane-wave DFT calculation with PBE was carried out for a relaxed structure of PmGa2Ag.

Cell: 4.4216 4.4216 5.6949 Å, 67.16 67.16 60.00°
With the nearest neighbours (Å) after each atom.
Atoms (fractional coordinates):
Ga (0.2191, 0.2191, 0.3428)  3 Ag 2.68
Ga (0.7809, 0.7809, 0.6572)  3 Ag 2.68
Pm (0.0000, 0.0000, 0.0000)  8 Ga 3.09-3.35
Ag (0.5000, 0.5000, 0.5000)  6 Ga 2.68

Summary:
- E_form: -436.7 meV/atom
- Excess energy over the best structure of this formula in the dataset: 53 meV per atom
- Density: 7.6 g cm⁻³
- Space-group type: R-3m, No. 166
- Total moment: 0.00 μB/f.u.

***

Entry 9:
A plane-wave DFT calculation with PBE was carried out for a relaxed structure of MgCo2Pb2.

Cell: 7.0437 7.0437 3.7124 Å, 90.00 90.00 90.00°
With the nearest neighbours (Å) after each atom.
Atoms (fractional coordinates):
Co (0.1280, 0.3720, 0.0000)  1 Co 2.55, 6 Pb 2.75-2.81, 2 Mg 2.77
Pb (0.1686, 0.6686, 0.5000)  6 Co 2.75-2.81
Co (0.6280, 0.1280, 0.0000)  1 Co 2.55, 6 Pb 2.75-2.81, 2 Mg 2.77
Mg (0.5000, 0.5000, 0.0000)  4 Co 2.77
Pb (0.3314, 0.1686, 0.5000)  6 Co 2.75-2.81
Mg (0.0000, 0.0000, 0.0000)  4 Co 2.77
Co (0.3720, 0.8720, 0.0000)  1 Co 2.55, 6 Pb 2.75-2.81, 2 Mg 2.77
Co (0.8720, 0.6280, 0.0000)  1 Co 2.55, 6 Pb 2.75-2.81, 2 Mg 2.77
Pb (0.8314, 0.3314, 0.5000)  6 Co 2.75-2.81
Pb (0.6686, 0.8314, 0.5000)  6 Co 2.75-2.81

Summary:
- E_form: 300.3 meV/atom
- Excess energy over the best structure of this formula in the dataset: 0 meV per atom
- Density: 10.0 g cm⁻³
- Space-group type: P4/mbm, No. 127
- Total moment: 1.16 μB/f.u.

***

Entry 10:
A plane-wave DFT calculation with PBE was carried out for a relaxed structure of Nb2HSBr.

Cell: 4.3296 3.8433 4.3296 Å, 90.00 90.00 90.00°
With the nearest neighbours (Å) after each atom.
Atoms (fractional coordinates):
Nb (0.0000, 0.0000, 0.5000)  2 H 2.16
H (0.0000, 0.0000, 0.0000)  2 S 1.92
Nb (0.5000, 0.0000, 0.0000)  2 H 2.16
Br (0.5000, 0.5000, 0.5000)  8 Nb 2.89, 4 S 3.06
S (0.0000, 0.5000, 0.0000)  2 H 1.92

Summary:
- Electronic total energy: -5.49 eV per atom
- Density: 6.9 g cm⁻³
- Space-group type: P4/mmm, No. 123
- Total moment: 0.00 μB/f.u.

***

Entry 11:
A plane-wave DFT calculation with PBE was carried out for a relaxed structure of Be2Pb.

Cell: 4.0962 4.0962 4.0962 Å, 115.89 109.36 103.41°
With the nearest neighbours (Å) after each atom.
Atoms (fractional coordinates):
Be (0.2665, 0.7665, 0.5000)  1 Be 2.37, 4 Pb 2.56-2.65
Pb (0.0000, 0.0000, 0.0000)  8 Be 2.56-2.65
Be (0.7335, 0.2335, 0.5000)  1 Be 2.37, 4 Pb 2.56-2.65

Summary:
- E_form: 783.7 meV/atom
- Excess energy over the best structure of this formula in the dataset: 582 meV per atom
- Density: 7.2 g cm⁻³
- Space-group type: Immm, No. 71
- Total moment: 0.00 μB/f.u.

***

Entry 12:
A plane-wave DFT calculation with PBE was carried out for a relaxed structure of NdHo2Th3S6.

Cell: 6.8169 6.8169 7.0669 Å, 99.22 99.22 119.65°
With the nearest neighbours (Å) after each atom.
Atoms (fractional coordinates):
Ho (0.3328, 0.6672, 0.0000)  6 S 2.74-2.76
Ho (0.6672, 0.3328, 0.0000)  6 S 2.74-2.76
Th (0.1621, 0.8379, 0.5000)  6 S 2.85-2.90
S (0.2657, 0.2657, 0.7666)  2 Ho 2.74, 1 Nd 2.82, 3 Th 2.84-2.89
S (0.4231, 0.0798, 0.2394)  2 Ho 2.75-2.76, 1 Nd 2.84, 3 Th 2.85-2.90
S (0.0798, 0.4231, 0.2394)  2 Ho 2.75-2.76, 1 Nd 2.84, 3 Th 2.85-2.90
S (0.9202, 0.5769, 0.7606)  2 Ho 2.75-2.76, 1 Nd 2.84, 3 Th 2.85-2.90
Nd (0.0000, 0.0000, 0.0000)  6 S 2.82-2.84
S (0.5769, 0.9202, 0.7606)  2 Ho 2.75-2.76, 1 Nd 2.84, 3 Th 2.85-2.90
Th (0.5000, 0.5000, 0.5000)  6 S 2.84-2.90
S (0.7343, 0.7343, 0.2334)  2 Ho 2.74, 1 Nd 2.82, 3 Th 2.84-2.89
Th (0.8379, 0.1621, 0.5000)  6 S 2.85-2.90

Summary:
- Density: 8.4 g cm⁻³
- Space-group type: C2/m, No. 12
- Total moment: 0.00 μB/f.u.
- Uncorrected formation energy: -1.899 eV/atom